The following is a GGA-PBEsol calculation of a geometry-optimized ZrOsW structure, from the Alexandria database.

Geometry as POSCAR:
```
ZrOsW
1.0
-1.595 1.595 4.937
1.595 -1.595 4.937
1.595 1.595 -4.937
Zr Os W
1 1 1
Cartesian
0.000 0.000 0.000
0.000 0.000 6.638
0.000 0.000 3.189
```

Computed properties:
Relative energy among the computed polymorphs, eV per atom: 0.000
Total magnetic moment, μB/f.u.: 0.0
Mass density, g/cm³: 15.38
Energy relative to the elements, meV per atom: -13.5

=====

The following is a GGA-PBEsol calculation of a geometry-optimized NiSe structure, from the Alexandria database.

Geometry as POSCAR:
```
NiSe
1.0
3.716 0.000 0.000
-1.858 3.218 0.000
0.000 0.000 5.983
Ni Se
2 2
Cartesian
0.000 2.146 0.741
1.858 1.073 5.242
0.000 2.146 4.417
1.858 1.073 1.567
```

Computed properties:
Total magnetic moment, μB/f.u.: 0.0
Mass density, g/cm³: 6.39
E_form (uncorrected), meV/atom: -268.2

=====

The following is a GGA-PBEsol calculation of a geometry-optimized LaTa2Cl structure, from the Alexandria database.

Geometry as POSCAR:
```
LaTa2Cl
1.0
3.870 0.000 0.000
0.000 3.870 0.000
0.000 0.000 5.874
La Ta Cl
1 2 1
Cartesian
0.000 0.000 0.000
0.000 1.935 2.937
1.935 0.000 2.937
1.935 1.935 0.000
```

Computed properties:
Relative energy among the computed polymorphs, eV per atom: 0.316
Total magnetic moment, μB/f.u.: 0.0
Mass density, g/cm³: 10.12
E_form (uncorrected), meV/atom: 258.1

=====

The following is a GGA-PBEsol calculation of a geometry-optimized ScAlW2 structure, from the Alexandria database.

Geometry as POSCAR:
```
ScAlW2
1.0
2.724 0.000 0.000
0.000 4.432 0.000
0.000 0.000 5.487
Sc Al W
1 1 2
Cartesian
0.000 0.000 0.000
0.000 0.000 2.743
1.362 2.216 1.406
1.362 2.216 4.080
```

Computed properties:
Total magnetic moment, μB/f.u.: 0.0
Mass density, g/cm³: 11.02
Energy relative to the elements, meV per atom: 233.5